(1)
A plane-wave DFT calculation with PBE was carried out for a relaxed structure of CoRe3N.

Values from the calculation:
**Energy relative to the lowest polymorph listed for this composition**: 2492 meV per atom
**Formation energy without anion corrections**: 14.2 eV/f.u.
**Density of states at the Fermi level**: 1.567 states/eV per atom

a = 4.3805 Å, b = 4.3805 Å, c = 4.3805 Å
α = 90.00°, β = 90.00°, γ = 90.00°
Closest atoms and distances in Å follow each position.
Space group Pm-3m (No. 221)
Asymmetric unit:
Co 0.0000 0.0000 0.0000 [1 per cell]  6 Re 2.19
Re 0.0000 0.0000 0.5000 [3 per cell]  2 Co 2.19
N 0.5000 0.5000 0.5000 [1 per cell]  12 Re 3.10

=====

(2)
A plane-wave DFT calculation with PBE was carried out for a relaxed structure of Pm2TmSb.

Values from the calculation:
**Energy relative to the lowest polymorph listed for this composition**: 0 meV per atom
**Formation energy without anion corrections**: -2.0 eV/f.u.
**Density of states at the Fermi level**: 1.003 states/eV per atom

a = 4.2211 Å, b = 4.2211 Å, c = 6.7390 Å
α = 90.00°, β = 90.00°, γ = 90.00°
Closest atoms and distances in Å follow each position.
Space group P4/mmm (No. 123)
Asymmetric unit:
Pm 0.0000 0.0000 0.2345 [2 per cell]  1 Pm 3.16, 4 Sb 3.38, 4 Tm 3.48
Tm 0.5000 0.5000 0.5000 [1 per cell]  2 Sb 3.37, 8 Pm 3.48
Sb 0.5000 0.5000 0.0000 [1 per cell]  2 Tm 3.37, 8 Pm 3.38

=====

(3)
A plane-wave DFT calculation with PBE was carried out for a relaxed structure of CdGaAs2Se.

Values from the calculation:
**Energy relative to the lowest polymorph listed for this composition**: 199 meV per atom
**Formation energy without anion corrections**: 3.7 eV/f.u.
**Density of states at the Fermi level**: 0.931 states/eV per atom

a = 5.1713 Å, b = 5.1713 Å, c = 5.4182 Å
α = 90.00°, β = 90.00°, γ = 90.00°
Closest atoms and distances in Å follow each position.
Space group P4/mmm (No. 123)
Asymmetric unit:
Cd 0.0000 0.0000 0.0000 [1 per cell]  4 As 2.59, 2 Se 2.71
Ga 0.5000 0.5000 0.5000 [1 per cell]  4 Se 3.66, 8 As 3.74
As 0.0000 0.5000 0.0000 [2 per cell]  2 Cd 2.59
Se 0.0000 0.0000 0.5000 [1 per cell]  2 Cd 2.71

=====

(4)
A plane-wave DFT calculation with PBE was carried out for a relaxed structure of Y4Cd3Pd.

Values from the calculation:
**Energy of formation from the pure elements**: -0.48 eV/atom
**Density of states at the Fermi level**: 0.906 states/eV per atom

a = 3.6728 Å, b = 3.6728 Å, c = 14.8882 Å
α = 90.00°, β = 90.00°, γ = 90.00°
Closest atoms and distances in Å follow each position.
Space group P4/mmm (No. 123)
Asymmetric unit:
Y 0.0000 0.0000 0.1119 [2 per cell]  4 Pd 3.09, 4 Cd 3.26, 1 Y 3.33
Y 0.0000 0.0000 0.3707 [2 per cell]  8 Cd 3.21-3.23
Cd 0.5000 0.5000 0.2440 [2 per cell]  8 Y 3.21-3.26
Cd 0.5000 0.5000 0.5000 [1 per cell]  8 Y 3.23
Pd 0.5000 0.5000 0.0000 [1 per cell]  8 Y 3.09